1.
This record from Alexandria via LeMat-Bulk describes a relaxed CdInPb6 crystal. The functional is GGA-PBE.

Calculated values
The symmetry is P4/mmm. The energy above the most stable polymorph in this dataset is 0 meV per atom. As for the formation energy: 2 kJ per mole of atoms.

a b c (Å): 4.975 4.975 9.796
angles (deg): 90.00 90.00 90.00
Positions (direct):
Cd  0.000  0.000  0.000
In  0.000  0.000  0.500
Pb  0.000  0.500  0.247
Pb  0.000  0.500  0.753
Pb  0.500  0.000  0.247
Pb  0.500  0.000  0.753
Pb  0.500  0.500  0.000
Pb  0.500  0.500  0.500


2.
This record from Alexandria via LeMat-Bulk describes a relaxed Mg2ScTa crystal. The functional is GGA-PBE.

Calculated values
The symmetry is I4/mmm. The energy above the most stable polymorph in this dataset is 239 meV per atom. As for the formation energy: 30 kJ per mole of atoms.

a b c (Å): 4.300 4.300 8.969
angles (deg): 90.00 90.00 90.00
Positions (direct):
Mg  0.000  0.500  0.250
Mg  0.000  0.500  0.750
Mg  0.500  0.000  0.250
Mg  0.500  0.000  0.750
Sc  0.000  0.000  0.000
Sc  0.500  0.500  0.500
Ta  0.000  0.000  0.500
Ta  0.500  0.500  0.000


3.
This record from Alexandria via LeMat-Bulk describes a relaxed YMnNiI2 crystal. The functional is GGA-PBE.

Calculated values
The symmetry is P4/mmm. The uncorrected formation energy is 657 meV/atom.

a b c (Å): 5.135 5.135 5.433
angles (deg): 90.00 90.00 90.00
Positions (direct):
Y  0.000  0.000  0.000
Mn  0.000  0.000  0.500
Ni  0.500  0.500  0.000
I  0.000  0.500  0.500
I  0.500  0.000  0.500


| no. | DOS at the Fermi energy (states/eV per cell) | raw total energy (eV per atom) |
| --- | --- | --- |
| 1 | 3.60 | -3.218 |
| 2 | 9.07 | -5.033 |
| 3 | 6.49 | -4.246 |